Sc2TaMnN4: optimized geometry, GGA-PBE.

The calculation puts the formation energy from raw total energies at -1.272 eV/atom. The spin magnetization comes out at 0.7 μB per formula unit. The calculation puts the theoretical density at 7.63 g/cm3. Its crystal system is monoclinic.

Structure (CIF):
```
data_Sc2TaMnN4
_cell_length_a 5.2768
_cell_length_b 3.1113
_cell_length_c 5.3749
_cell_angle_alpha 90.00
_cell_angle_beta 109.65
_cell_angle_gamma 90.00
_space_group_name_H-M_alt 'P 1 2/m 1'
_space_group_IT_number 10
loop_
_space_group_symop_operation_xyz
'x,y,z'
'-x,-y,-z'
'-x,y,-z'
'x,-y,z'
loop_
_atom_site_label
_atom_site_type_symbol
_atom_site_fract_x
_atom_site_fract_y
_atom_site_fract_z
Sc1 Sc 0.0000 0.0000 0.0000
Sc2 Sc 0.5000 0.5000 0.0000
Ta1 Ta 0.0000 0.5000 0.5000
Mn1 Mn 0.5000 0.0000 0.5000
N1 N 0.2469 0.0000 0.7419
N2 N 0.2550 0.5000 0.2639
```